Computed, not measured: a crystal of MgIrAu relaxed with PBEsol at the meta-GGA SCAN level of DFT.

As for the density: 14.47 g/cm³. The calculation puts the calculated total energy at -145.56 eV/f.u. The value obtained for the total magnetization is 0.00 μB per atom. The value obtained for the energy of formation from the pure elements is -108 meV per atom. As for the symmetry: Imm2 (44). The value obtained for the distance to the lowest polymorph of the same formula is 0.0000 eV/atom.

Lattice parameters (Å, degrees): 4.916 4.916 4.916 146.99 132.32 59.22
Positions (direct):
Mg1 0.000 0.000 0.000
Ir1 0.659 0.659 0.000
Au1 0.329 0.329 0.000


Computed, not measured: a crystal of Cr3InS relaxed with PBEsol at the meta-GGA SCAN level of DFT.

As for the density: 4.12 g/cm³. The calculation puts the calculated total energy at -92.20 eV/f.u. The value obtained for the total magnetization is 2.47 μB per atom. The uncorrected formation energy comes out at 1.19 eV/atom. As for the symmetry: Pm-3m (221).

Lattice parameters (Å, degrees): 4.962 4.962 4.962 90.00 90.00 90.00
Positions (direct):
Cr1 0.000 0.000 0.500
Cr2 0.000 0.500 0.000
Cr3 0.500 0.000 0.000
In1 0.000 0.000 0.000
S1 0.500 0.500 0.500


Computed, not measured: a crystal of CdIr4 relaxed with PBEsol at the meta-GGA SCAN level of DFT.

As for the density: 17.65 g/cm³. The calculation puts the calculated total energy at -313.19 eV/f.u. The value obtained for the total magnetization is 0.00 μB per atom. The value obtained for the energy of formation from the pure elements is 325 meV per atom. As for the symmetry: I4/mmm (139).

Lattice parameters (Å, degrees): 6.703 6.703 6.703 148.30 148.30 45.44
Positions (direct):
Cd1 0.000 0.000 0.000
Ir1 0.250 0.750 0.500
Ir2 0.399 0.399 0.000
Ir3 0.601 0.601 0.000
Ir4 0.750 0.250 0.500


Computed, not measured: a crystal of MnPb2 relaxed with PBEsol at the meta-GGA SCAN level of DFT.

As for the density: 10.90 g/cm³. The calculation puts the calculated total energy at -169.56 eV/f.u. The value obtained for the total magnetization is 1.37 μB per atom. The value obtained for the energy of formation from the pure elements is 86 meV per atom. As for the symmetry: I4/mmm (139).

Lattice parameters (Å, degrees): 6.775 6.775 6.775 151.31 151.31 41.02
Positions (direct):
Mn1 0.000 0.000 0.000
Pb1 0.359 0.359 0.000
Pb2 0.641 0.641 0.000


Question: The lowest density belongs to which entry?
Answer: Cr3InS


Question: Among the records above, which one has the highest calculated total energy?
Answer: Cr3InS


Question: Which of these has the lowest calculated total energy?
Answer: CdIr4